Entry 1:
{
  "formula": "ScTaSi2",
  "functional": "SCAN",
  "state": "PBEsol geometry",
  "lattice_angstrom": [[-3.496, 3.496, 2.834], [3.496, -3.496, 2.834], [3.496, 3.496, -2.834]],
  "species": ["Sc", "Sc", "Ta", "Ta", "Si", "Si", "Si", "Si"],
  "frac_coords": [[0.000, 0.000, 0.000], [0.750, 0.250, 0.500], [0.250, 0.750, 0.500], [0.500, 0.500, 0.000], [0.135, 0.125, 0.510], [0.375, 0.865, 0.990], [0.615, 0.625, 0.490], [0.875, 0.385, 0.010]],
  "relative_energy_kj_per_mol_atoms": 49.2,
  "raw_formation_energy_ev_per_atom": -0.118,
  "total_energy_ha_per_atom": -0.93088,
  "magmom_total_mub_per_cell": 0.00
}

Entry 2:
{
  "formula": "Sc2TaSi",
  "functional": "SCAN",
  "state": "PBEsol geometry",
  "lattice_angstrom": [[-2.032, 2.032, 4.332], [2.032, -2.032, 4.332], [2.032, 2.032, -4.332]],
  "species": ["Sc", "Sc", "Ta", "Si"],
  "frac_coords": [[0.000, 0.000, 0.000], [0.750, 0.250, 0.500], [0.250, 0.750, 0.500], [0.500, 0.500, 0.000]],
  "raw_formation_energy_ev_per_atom": -0.160,
  "total_energy_ha_per_atom": -0.97121,
  "magmom_total_mub_per_cell": 0.00
}

Entry 3:
{
  "formula": "TbScSi2",
  "functional": "SCAN",
  "state": "PBEsol geometry",
  "lattice_angstrom": [[3.725, 0.000, 0.000], [0.000, 2.057, 5.092], [0.000, -2.057, 5.092]],
  "species": ["Tb", "Sc", "Si", "Si"],
  "frac_coords": [[0.000, 0.000, 0.000], [0.500, 0.280, 0.280], [0.000, 0.721, 0.721], [0.500, 0.565, 0.565]],
  "raw_formation_energy_ev_per_atom": -0.831,
  "total_energy_ha_per_atom": -0.77498,
  "magmom_total_mub_per_cell": 0.00
}

Entry 4:
{
  "formula": "Tb2Sc3Si4",
  "functional": "SCAN",
  "state": "PBEsol geometry",
  "lattice_angstrom": [[7.033, 0.000, 0.000], [0.000, 13.845, 0.000], [0.000, 0.000, 7.323]],
  "species": ["Tb", "Tb", "Tb", "Tb", "Tb", "Tb", "Tb", "Tb", "Sc", "Sc", "Sc", "Sc", "Sc", "Sc", "Sc", "Sc", "Sc", "Sc", "Sc", "Sc", "Si", "Si", "Si", "Si", "Si", "Si", "Si", "Si", "Si", "Si", "Si", "Si", "Si", "Si", "Si", "Si"],
  "frac_coords": [[0.011, 0.096, 0.175], [0.011, 0.404, 0.175], [0.489, 0.596, 0.675], [0.489, 0.904, 0.675], [0.511, 0.096, 0.325], [0.511, 0.404, 0.325], [0.989, 0.596, 0.825], [0.989, 0.904, 0.825], [0.163, 0.750, 0.503], [0.170, 0.125, 0.676], [0.170, 0.375, 0.676], [0.330, 0.625, 0.176], [0.330, 0.875, 0.176], [0.337, 0.250, 0.003], [0.663, 0.750, 0.997], [0.670, 0.125, 0.824], [0.670, 0.375, 0.824], [0.830, 0.625, 0.324], [0.830, 0.875, 0.324], [0.837, 0.250, 0.497], [0.034, 0.750, 0.115], [0.157, 0.539, 0.464], [0.157, 0.961, 0.464], [0.214, 0.250, 0.373], [0.286, 0.750, 0.873], [0.343, 0.039, 0.964], [0.343, 0.461, 0.964], [0.466, 0.250, 0.615], [0.534, 0.750, 0.385], [0.657, 0.539, 0.036], [0.657, 0.961, 0.036], [0.714, 0.250, 0.127], [0.786, 0.750, 0.627], [0.843, 0.039, 0.536], [0.843, 0.461, 0.536], [0.966, 0.250, 0.885]],
  "raw_formation_energy_ev_per_atom": -0.867,
  "total_energy_ha_per_atom": -0.75172,
  "magmom_total_mub_per_cell": 0.00
}

Entry 5:
{
  "formula": "ScSiTc2",
  "functional": "SCAN",
  "state": "PBEsol geometry",
  "lattice_angstrom": [[1.594, -2.336, 0.000], [1.594, 2.336, 0.000], [0.000, 0.000, 7.999]],
  "species": ["Sc", "Si", "Tc", "Tc"],
  "frac_coords": [[0.000, 0.000, 0.000], [0.000, 0.000, 0.500], [0.500, 0.500, 0.277], [0.500, 0.500, 0.723]],
  "raw_formation_energy_ev_per_atom": -0.175,
  "total_energy_ha_per_atom": -0.87347,
  "magmom_total_mub_per_cell": 0.00
}

Entry 6:
{
  "formula": "Sc2SiTc",
  "functional": "SCAN",
  "state": "PBEsol geometry",
  "lattice_angstrom": [[1.544, 0.891, 9.380], [-1.544, 0.891, 9.380], [0.000, -1.783, 9.380]],
  "species": ["Sc", "Sc", "Si", "Tc"],
  "frac_coords": [[0.097, 0.097, 0.097], [0.903, 0.903, 0.903], [0.000, 0.000, 0.000], [0.500, 0.500, 0.500]],
  "raw_formation_energy_ev_per_atom": 0.265,
  "total_energy_ha_per_atom": -0.66601,
  "magmom_total_mub_per_cell": 0.00
}

Entry 7:
{
  "formula": "ScSiTc2",
  "functional": "SCAN",
  "state": "PBEsol geometry",
  "lattice_angstrom": [[-1.538, 2.083, 4.525], [1.538, -2.083, 4.525], [1.538, 2.083, -4.525]],
  "species": ["Sc", "Si", "Tc", "Tc"],
  "frac_coords": [[0.000, 0.000, 0.000], [0.273, 0.773, 0.500], [0.504, 0.504, 0.000], [0.742, 0.242, 0.500]],
  "raw_formation_energy_ev_per_atom": -0.419,
  "total_energy_ha_per_atom": -0.88242,
  "magmom_total_mub_per_cell": 0.00
}

Entry 8:
{
  "formula": "Sc2SiTe",
  "functional": "SCAN",
  "state": "PBEsol geometry",
  "lattice_angstrom": [[1.964, 1.134, 6.624], [-1.964, 1.134, 6.624], [0.000, -2.268, 6.624]],
  "species": ["Sc", "Sc", "Si", "Te"],
  "frac_coords": [[0.240, 0.240, 0.240], [0.760, 0.760, 0.760], [0.500, 0.500, 0.500], [0.000, 0.000, 0.000]],
  "relative_energy_kj_per_mol_atoms": 0.0,
  "raw_formation_energy_ev_per_atom": -1.023,
  "total_energy_ha_per_atom": -0.73344,
  "magmom_total_mub_per_cell": 0.00
}